Below is crystalline RbY2VF at its relaxed geometry, with properties calculated at the PBE+U level.

```
5
Lattice="5.4179 0.0000 0.0000 0.0000 5.4179 0.0000 0.0000 0.0000 7.6620" Properties=species:S:1:pos:R:3 pbc="T T T"
Rb 0.0000 0.0000 0.0000
Y 0.0000 2.7090 3.8310
Y 2.7090 0.0000 3.8310
V 0.0000 0.0000 3.8310
F 2.7090 2.7090 0.0000
```

* space group: P4/mmm, No. 123
* M_tot: 1.089 μB/atom
* DFT total energy: -4.1502 eV/atom
* D(E_F): 0.518 states/eV/atom